V4GeIr: optimized geometry, PBE.

Structure (POSCAR):
```
V4GeIr
1.0
1.5205 -6.3765 0.0000
1.5205 6.3765 0.0000
0.0000 0.0000 8.4724
V Ge Ir
8 2 2
Cartesian
1.5205 6.2944 4.2362
1.5205 4.1536 2.2973
1.5205 2.1392 0.1111
1.5205 0.1721 6.3924
1.5205 -0.1721 2.1562
1.5205 -2.1392 4.3473
1.5205 -4.1536 6.5335
1.5205 -6.2944 0.0000
1.5205 2.0729 4.4085
1.5205 -2.0729 0.1723
1.5205 4.3812 6.4559
1.5205 -4.3812 2.2197
```

Uncorrected energy   -0.3171 Ha/atom
DFT formation energy   -0.302 eV/atom
ρ   9.5 g/cm³
Symmetry   Cmc2_1, No. 36